Entry 1:
# Zr2InPt GGA-PBE optimized geometry
data_Zr2InPt
_symmetry_space_group_name_H-M 'P 1 2/m 1'
_symmetry_Int_Tables_number 10
_symmetry_space_group_name_Hall '-P 2y'
_cell_length_a 3.247
_cell_length_b 4.132
_cell_length_c 6.018
_cell_angle_alpha 90.00
_cell_angle_beta 90.60
_cell_angle_gamma 90.00
loop_
_atom_site_label
_atom_site_type_symbol
_atom_site_fract_x
_atom_site_fract_y
_atom_site_fract_z
Zr1 Zr 0.007 0.000 0.264
In1 In 0.500 0.500 0.000
Pt1 Pt 0.500 0.500 0.500
# formation enthalpy at 0 K = -0.571 eV per atom
# size of the total moment = 0.00 Bohr magnetons per cell

---

Entry 2:
# SrAcInBi GGA-PBE optimized geometry
data_SrAcInBi
_symmetry_space_group_name_H-M 'F -4 3 m'
_symmetry_Int_Tables_number 216
_symmetry_space_group_name_Hall 'F -4 2 3'
_cell_length_a 8.273
_cell_length_b 8.273
_cell_length_c 8.273
_cell_angle_alpha 90.00
_cell_angle_beta 90.00
_cell_angle_gamma 90.00
loop_
_atom_site_label
_atom_site_type_symbol
_atom_site_fract_x
_atom_site_fract_y
_atom_site_fract_z
Sr1 Sr 0.000 0.000 0.000
Ac1 Ac 0.000 0.000 0.500
In1 In 0.250 0.250 0.250
Bi1 Bi 0.250 0.250 0.750
# formation enthalpy at 0 K = -0.526 eV per atom
# size of the total moment = 0.00 Bohr magnetons per cell

---

Entry 3:
# Ba3TcC2N6 GGA-PBE optimized geometry
data_Ba3TcC2N6
_symmetry_space_group_name_H-M 'P -3 m 1'
_symmetry_Int_Tables_number 164
_symmetry_space_group_name_Hall '-P 3 2"'
_cell_length_a 5.5355
_cell_length_b 5.5355
_cell_length_c 6.6417
_cell_angle_alpha 90.00
_cell_angle_beta 90.00
_cell_angle_gamma 120.00
loop_
_atom_site_label
_atom_site_type_symbol
_atom_site_fract_x
_atom_site_fract_y
_atom_site_fract_z
Ba1 Ba 0.0000 0.0000 0.0000
Ba2 Ba 0.3333 0.6667 0.7235
Tc1 Tc 0.0000 0.0000 0.5000
C1 C 0.3333 0.6667 0.3150
N1 N 0.1884 0.3769 0.3128
# ΔE_f (raw) = -0.21 eV per atom
# size of the total moment = 0.89 Bohr magnetons per cell

---

Entry 4:
# InBiBr GGA-PBE optimized geometry
data_InBiBr
_symmetry_space_group_name_H-M 'P 3 m 1'
_symmetry_Int_Tables_number 156
_symmetry_space_group_name_Hall 'P 3 -2"'
_cell_length_a 3.8582
_cell_length_b 3.8582
_cell_length_c 7.5295
_cell_angle_alpha 90.00
_cell_angle_beta 90.00
_cell_angle_gamma 120.00
loop_
_atom_site_label
_atom_site_type_symbol
_atom_site_fract_x
_atom_site_fract_y
_atom_site_fract_z
In1 In 0.0000 0.0000 0.0000
Bi1 Bi 0.6667 0.3333 0.2884
Br1 Br 0.3333 0.6667 0.7451
# ΔE_f (raw) = -0.19 eV per atom
# size of the total moment = 0.00 Bohr magnetons per cell

---

Entry 5:
# CuTeH3 GGA-PBE optimized geometry
data_CuTeH3
_symmetry_space_group_name_H-M 'P m -3 m'
_symmetry_Int_Tables_number 221
_symmetry_space_group_name_Hall '-P 4 2 3'
_cell_length_a 3.687
_cell_length_b 3.687
_cell_length_c 3.687
_cell_angle_alpha 90.00
_cell_angle_beta 90.00
_cell_angle_gamma 90.00
loop_
_atom_site_label
_atom_site_type_symbol
_atom_site_fract_x
_atom_site_fract_y
_atom_site_fract_z
Cu1 Cu 0.000 0.000 0.000
Te1 Te 0.500 0.500 0.500
H1 H 0.000 0.000 0.500
# size of the total moment = 0.00 Bohr magnetons per cell
# electronic total energy = -13.58 eV per cell

---

Entry 6:
# NaTi8Cu6BiO24 GGA-PBE optimized geometry
data_NaTi8Cu6BiO24
_symmetry_space_group_name_H-M 'P m -3'
_symmetry_Int_Tables_number 200
_symmetry_space_group_name_Hall '-P 2 2 3'
_cell_length_a 7.467
_cell_length_b 7.467
_cell_length_c 7.467
_cell_angle_alpha 90.00
_cell_angle_beta 90.00
_cell_angle_gamma 90.00
loop_
_atom_site_label
_atom_site_type_symbol
_atom_site_fract_x
_atom_site_fract_y
_atom_site_fract_z
Na1 Na 0.000 0.000 0.000
Ti1 Ti 0.246 0.246 0.246
Cu1 Cu 0.000 0.000 0.500
Cu2 Cu 0.000 0.500 0.500
Bi1 Bi 0.500 0.500 0.500
O1 O 0.000 0.306 0.179
O2 O 0.197 0.322 0.500
# ΔE_f (raw) = -2.09 eV per atom
# size of the total moment = 5.89 Bohr magnetons per cell

---

Entry 7:
# Sr2PbSe3 GGA-PBE optimized geometry
data_Sr2PbSe3
_symmetry_space_group_name_H-M 'I m m m'
_symmetry_Int_Tables_number 71
_symmetry_space_group_name_Hall '-I 2 2'
_cell_length_a 4.438
_cell_length_b 6.257
_cell_length_c 13.338
_cell_angle_alpha 90.00
_cell_angle_beta 90.00
_cell_angle_gamma 90.00
loop_
_atom_site_label
_atom_site_type_symbol
_atom_site_fract_x
_atom_site_fract_y
_atom_site_fract_z
Sr1 Sr 0.000 0.000 0.166
Pb1 Pb 0.000 0.000 0.500
Se1 Se 0.000 0.500 0.167
Se2 Se 0.000 0.500 0.500
# ΔE_f (raw) = -1.57 eV per atom
# size of the total moment = 0.00 Bohr magnetons per cell

---

Entry 8:
# Er4InHg2Pd GGA-PBE optimized geometry
data_Er4InHg2Pd
_symmetry_space_group_name_H-M 'R -3 m'
_symmetry_Int_Tables_number 166
_symmetry_space_group_name_Hall '-R 3 2"'
_cell_length_a 5.1654
_cell_length_b 5.1654
_cell_length_c 25.1748
_cell_angle_alpha 90.00
_cell_angle_beta 90.00
_cell_angle_gamma 120.00
loop_
_atom_site_label
_atom_site_type_symbol
_atom_site_fract_x
_atom_site_fract_y
_atom_site_fract_z
Er1 Er 0.0000 0.0000 0.1177
Er2 Er 0.0000 0.0000 0.3697
In1 In 0.0000 0.0000 0.5000
Hg1 Hg 0.0000 0.0000 0.2449
Pd1 Pd 0.0000 0.0000 0.0000
# formation enthalpy at 0 K = -0.576 eV per atom
# size of the total moment = 0.00 Bohr magnetons per cell

---

> Which value of size of the total moment does entry 7 give?

0.00 Bohr magnetons per cell